# 1
A geometry-optimized K2SrCo structure, computed with PBE.

```
4
Lattice="7.4577 -0.0030 0.0000 4.0969 6.2316 0.0000 -5.7773 -3.1143 3.5414" Properties=species:S:1:pos:R:3 pbc="T T T"
K 0.0000 0.0000 0.0000
Co 3.7289 -0.0015 1.7707
K 5.7773 3.1143 0.0000
Sr 2.0485 3.1158 1.7707
```

Summary:
Energy relative to the lowest polymorph listed for this composition, kJ/mol of atoms: 19.79
Formation enthalpy at 0 K, eV/atom: 0.7358
Density of states at the Fermi level, states/eV/cell: 2.849
Space-group type: I4/mmm, No. 139


# 2
A geometry-optimized DyCd3Ni8 structure, computed with PBE.

```
12
Lattice="4.9408 0.0000 0.0000 2.4704 4.2789 0.0000 2.4704 1.4263 8.0611" Properties=species:S:1:pos:R:3 pbc="T T T"
Cd 2.4704 1.4263 7.9894
Ni 8.6516 4.9950 5.5485
Ni 7.4112 4.2789 7.5554
Ni 6.1759 2.1395 1.4949
Ni 7.4112 2.8466 5.5485
Ni 4.9408 4.2787 1.4949
Ni 6.1709 4.9950 5.5485
Ni 3.7058 2.1395 1.4949
Dy 7.4112 4.2789 3.0019
Cd 4.9408 2.8526 7.0809
Ni 2.4704 1.4263 3.5274
Cd 4.9408 2.8526 4.1274
```

Summary:
Formation enthalpy at 0 K, eV/atom: -0.1482
Density of states at the Fermi level, states/eV/cell: 16.927
Space-group type: R3m, No. 160


- density of states at the Fermi level of number 1 (K2SrCo)?
  2.849 states/eV/cell


- Which of these has the lowest formation enthalpy at 0 K?
  DyCd3Ni8